Density functional theory data (GGA-PBE) for an optimized crystal structure of TiSn3Pd12.

Summary:
Energy of formation from the pure elements: -0.543 eV/atom

abc: 4.012 4.012 16.043
angles: 90.00 90.00 90.00
Space group P4/mmm (No. 123)
Asymmetric unit:
Ti  0.000  0.000  0.000 x1
Sn  0.000  0.000  0.247 x2
Sn  0.000  0.000  0.500 x1
Pd  0.000  0.500  0.118 x4
Pd  0.000  0.500  0.373 x4
Pd  0.500  0.500  0.000 x1
Pd  0.500  0.500  0.246 x2
Pd  0.500  0.500  0.500 x1